[1]
# La4Nd6Th (PBE, relaxed)
# Calculated total energy ... -108.38 eV per cell
data_La4Nd6Th
_chemical_formula_sum 'La8 Nd12 Th2'
_space_group_name_H-M_alt 'P 4/m n c'
_space_group_IT_number 128
_space_group_name_Hall '-P 4 2n'
_cell_length_a 8.9332
_cell_length_b 8.9332
_cell_length_c 9.8652
_cell_angle_alpha 90.00
_cell_angle_beta 90.00
_cell_angle_gamma 90.00
loop_
_atom_site_label
_atom_site_type_symbol
_atom_site_fract_x
_atom_site_fract_y
_atom_site_fract_z
La1 La 0.1442 0.3558 0.2500
Nd1 Nd 0.0000 0.0000 0.1689
Nd2 Nd 0.1525 0.6563 0.0000
Th1 Th 0.0000 0.0000 0.5000



[2]
# La4Nd5Th2 (PBE, relaxed)
# Calculated total energy ... -114.59 eV per cell
data_La4Nd5Th2
_chemical_formula_sum 'La8 Nd10 Th4'
_space_group_name_H-M_alt 'C 1 2/m 1'
_space_group_IT_number 12
_cell_length_a 24.3395
_cell_length_b 3.6177
_cell_length_c 9.6028
_cell_angle_alpha 90.00
_cell_angle_beta 111.21
_cell_angle_gamma 90.00
loop_
_space_group_symop_operation_xyz
'x,y,z'
'-x,-y,-z'
'-x,y,-z'
'x,-y,z'
'x+1/2,y+1/2,z'
'-x+1/2,-y+1/2,-z'
'-x+1/2,y+1/2,-z'
'x+1/2,-y+1/2,z'
loop_
_atom_site_label
_atom_site_type_symbol
_atom_site_fract_x
_atom_site_fract_y
_atom_site_fract_z
La1 La 0.0136 0.0000 0.3295
La2 La 0.1695 0.0000 0.3832
Nd1 Nd 0.0000 0.5000 0.0000
Nd2 Nd 0.1247 0.0000 0.9758
Nd3 Nd 0.2420 0.0000 0.8203
Th1 Th 0.1108 0.5000 0.6383



[3]
# LaNd8Th2 (PBE, relaxed)
# Calculated total energy ... -111.69 eV per cell
data_LaNd8Th2
_chemical_formula_sum 'La2 Nd16 Th4'
_space_group_name_H-M_alt 'C 1 2/m 1'
_space_group_IT_number 12
_cell_length_a 9.1901
_cell_length_b 16.7462
_cell_length_c 6.1193
_cell_angle_alpha 90.00
_cell_angle_beta 124.33
_cell_angle_gamma 90.00
loop_
_space_group_symop_operation_xyz
'x,y,z'
'-x,-y,-z'
'-x,y,-z'
'x,-y,z'
'x+1/2,y+1/2,z'
'-x+1/2,-y+1/2,-z'
'-x+1/2,y+1/2,-z'
'x+1/2,-y+1/2,z'
loop_
_atom_site_label
_atom_site_type_symbol
_atom_site_fract_x
_atom_site_fract_y
_atom_site_fract_z
La1 La 0.0000 0.0000 0.0000
Nd1 Nd 0.0000 0.2061 0.0000
Nd2 Nd 0.0769 0.5000 0.7929
Nd3 Nd 0.2204 0.1196 0.6836
Th1 Th 0.0000 0.3081 0.5000



[4]
# LaNd2Tm4Th (PBE, relaxed)
# Calculated total energy ... -39.52 eV per cell
data_LaNd2Tm4Th
_chemical_formula_sum 'La1 Nd2 Tm4 Th1'
_space_group_name_H-M_alt 'P 1 2/m 1'
_space_group_IT_number 10
_cell_length_a 5.1304
_cell_length_b 5.1333
_cell_length_c 9.8565
_cell_angle_alpha 90.00
_cell_angle_beta 90.05
_cell_angle_gamma 90.00
loop_
_space_group_symop_operation_xyz
'x,y,z'
'-x,-y,-z'
'-x,y,-z'
'x,-y,z'
loop_
_atom_site_label
_atom_site_type_symbol
_atom_site_fract_x
_atom_site_fract_y
_atom_site_fract_z
La1 La 0.0000 0.0000 0.0000
Nd1 Nd 0.0000 0.0000 0.5000
Nd2 Nd 0.5000 0.5000 0.0000
Tm1 Tm 0.9999 0.5000 0.2560
Tm2 Tm 0.4995 0.0000 0.2560
Th1 Th 0.5000 0.5000 0.5000